## Zn2CdTeF (meta-GGA SCAN)

Data for a PBEsol-optimized structure of Zn2CdTeF.

Cell lengths 4.391, 4.391, 5.144 Å; angles 90.00, 90.00, 90.00 degrees
Fractional positions:
Zn 0.000 0.500 0.000
Zn 0.500 0.000 0.000
Cd 0.000 0.000 0.500
Te 0.500 0.500 0.500
F 0.000 0.000 0.000

Output
- Density: 6.527 g/cm3
- Size of the total moment: 0.0000 μB/atom
- Formation energy from raw total energies: -238 meV per atom